(1)
This record from the Alexandria database describes a relaxed Cu3Mo2O9 crystal. The functional is GGA+U.

```
Cu3Mo2O9
1.0
-3.824 -2.260 -5.911
-5.207 -5.934 1.589
-7.042 2.438 3.546
Cu Mo O
6 4 18
direct
0.127 0.283 0.900 Cu
0.873 0.717 0.100 Cu
0.077 0.647 0.482 Cu
0.923 0.353 0.518 Cu
0.704 0.589 0.730 Cu
0.296 0.411 0.270 Cu
0.202 0.782 0.812 Mo
0.798 0.218 0.188 Mo
0.563 0.173 0.707 Mo
0.437 0.827 0.293 Mo
0.962 0.485 0.657 O
0.038 0.515 0.343 O
0.137 0.634 0.029 O
0.863 0.366 0.971 O
0.124 0.036 0.775 O
0.876 0.964 0.225 O
0.086 0.782 0.622 O
0.914 0.218 0.378 O
0.435 0.194 0.510 O
0.565 0.806 0.490 O
0.379 0.268 0.829 O
0.621 0.732 0.171 O
0.696 0.329 0.639 O
0.304 0.671 0.361 O
0.468 0.671 0.830 O
0.532 0.329 0.170 O
0.742 0.911 0.847 O
0.258 0.089 0.153 O
```

Computed properties:
Polymorph energy (0 for the lowest one), kJ per mole of atoms: 0.0
Crystal system: triclinic
SG: P-1, No. 2



(2)
This record from the Alexandria database describes a relaxed CuMo2O8 crystal. The functional is GGA+U.

```
CuMo2O8
1.0
6.405 0.000 0.000
0.000 5.712 0.000
0.000 -2.856 4.947
Cu Mo O
1 2 8
direct
0.500 0.000 0.000 Cu
0.769 0.667 0.333 Mo
0.231 0.333 0.667 Mo
0.956 0.333 0.667 O
0.044 0.667 0.333 O
0.321 0.161 0.321 O
0.679 0.839 0.679 O
0.679 0.321 0.161 O
0.321 0.679 0.839 O
0.321 0.161 0.839 O
0.679 0.839 0.161 O
```

Computed properties:
Polymorph energy (0 for the lowest one), kJ per mole of atoms: 6.7
Crystal system: trigonal
SG: P-3m1, No. 164



(3)
This record from the Alexandria database describes a relaxed Cu3Mo2O9 crystal. The functional is GGA+U.

```
Cu3Mo2O9
1.0
6.905 0.000 0.000
0.000 7.761 0.000
0.000 0.000 14.986
Cu Mo O
12 8 36
direct
0.750 0.787 0.565 Cu
0.750 0.679 0.355 Cu
0.250 0.713 0.065 Cu
0.750 0.287 0.935 Cu
0.750 0.179 0.145 Cu
0.250 0.213 0.435 Cu
0.000 0.000 0.000 Cu
0.250 0.321 0.645 Cu
0.500 0.500 0.500 Cu
0.250 0.821 0.855 Cu
0.000 0.500 0.500 Cu
0.500 0.000 0.000 Cu
0.750 0.221 0.672 Mo
0.750 0.678 0.114 Mo
0.250 0.279 0.172 Mo
0.750 0.178 0.386 Mo
0.250 0.322 0.886 Mo
0.250 0.779 0.328 Mo
0.250 0.822 0.614 Mo
0.750 0.721 0.828 Mo
0.033 0.729 0.560 O
0.250 0.269 0.771 O
0.750 0.682 0.713 O
0.250 0.911 0.978 O
0.034 0.657 0.360 O
0.466 0.157 0.140 O
0.967 0.271 0.440 O
0.750 0.231 0.271 O
0.034 0.157 0.140 O
0.250 0.483 0.113 O
0.750 0.454 0.100 O
0.250 0.318 0.287 O
0.750 0.017 0.613 O
0.750 0.731 0.229 O
0.250 0.411 0.522 O
0.750 0.089 0.022 O
0.750 0.589 0.478 O
0.750 0.517 0.887 O
0.966 0.843 0.860 O
0.750 0.182 0.787 O
0.250 0.983 0.387 O
0.534 0.843 0.860 O
0.467 0.729 0.560 O
0.534 0.343 0.640 O
0.250 0.818 0.213 O
0.533 0.271 0.440 O
0.533 0.771 0.060 O
0.467 0.229 0.940 O
0.466 0.657 0.360 O
0.750 0.954 0.400 O
0.250 0.769 0.729 O
0.250 0.046 0.600 O
0.967 0.771 0.060 O
0.250 0.546 0.900 O
0.033 0.229 0.940 O
0.966 0.343 0.640 O
```

Computed properties:
Polymorph energy (0 for the lowest one), kJ per mole of atoms: 1.0
Crystal system: orthorhombic
SG: Pnma, No. 62



(4)
This record from the Alexandria database describes a relaxed Cu3MoO crystal. The functional is GGA+U.

```
Cu3MoO
1.0
4.107 0.000 0.000
0.000 4.107 0.000
0.000 0.000 4.107
Mo O Cu
1 1 3
direct
0.500 0.500 0.500 Mo
0.000 0.000 0.000 O
0.000 0.500 0.000 Cu
0.000 0.000 0.500 Cu
0.500 0.000 0.000 Cu
```

Computed properties:
Polymorph energy (0 for the lowest one), kJ per mole of atoms: 0.0
Crystal system: cubic
SG: Pm-3m, No. 221



(5)
This record from the Alexandria database describes a relaxed CuMoO2 crystal. The functional is GGA+U.

```
CuMoO2
1.0
-3.142 -5.528 -1.992
-1.827 -6.399 0.329
-4.291 -5.070 0.527
Mo O Cu
1 2 1
direct
0.500 0.500 0.500 Mo
0.904 0.904 0.904 O
0.096 0.096 0.096 O
0.000 0.000 0.000 Cu
```

Computed properties:
Polymorph energy (0 for the lowest one), kJ per mole of atoms: 0.0
Crystal system: trigonal
SG: R-3m, No. 166



(6)
This record from the Alexandria database describes a relaxed CuMoO6 crystal. The functional is GGA+U.

```
CuMoO6
1.0
-1.797 1.065 5.041
-3.962 -3.050 2.186
1.139 -3.434 4.086
Cu Mo O
1 1 6
direct
0.500 0.500 0.500 Cu
0.000 0.000 0.000 Mo
0.753 0.753 0.247 O
0.753 0.247 0.247 O
0.247 0.753 0.753 O
0.247 0.247 0.753 O
0.247 0.753 0.247 O
0.753 0.247 0.753 O
```

Computed properties:
Crystal system: cubic
SG: Fm-3m, No. 225
VASP energy, eV for the cell shown: -43.658



(7)
This record from the Alexandria database describes a relaxed Cu3MoO crystal. The functional is GGA+U.

```
Cu3MoO
1.0
4.698 0.000 0.000
0.000 4.698 0.000
0.000 0.000 4.698
Mo O Cu
1 1 3
direct
0.000 0.000 0.000 Mo
0.500 0.500 0.500 O
0.000 0.500 0.000 Cu
0.000 0.000 0.500 Cu
0.500 0.000 0.000 Cu
```

Computed properties:
Polymorph energy (0 for the lowest one), kJ per mole of atoms: 167.7
Crystal system: cubic
SG: Pm-3m, No. 221



(8)
This record from the Alexandria database describes a relaxed CuMoO3 crystal. The functional is GGA+U.

```
CuMoO3
1.0
3.731 0.000 0.000
0.000 3.731 0.000
0.000 0.000 3.731
Mo O Cu
1 3 1
direct
0.500 0.500 0.500 Mo
0.000 0.500 0.000 O
0.000 0.000 0.500 O
0.500 0.000 0.000 O
0.000 0.000 0.000 Cu
```

Computed properties:
Crystal system: cubic
SG: Pm-3m, No. 221
VASP energy, eV for the cell shown: -27.074